This record from OQMD via LeMat-Bulk describes CsTeOsAuSe2 after structural relaxation. The functional is PBE.

As for the electronic total energy: -4.3769 eV/atom.

CIF file:
```
data_CsTeOsAuSe2
_cell_length_a 3.881
_cell_length_b 17.196
_cell_length_c 10.439
_cell_angle_alpha 90.00
_cell_angle_beta 90.00
_cell_angle_gamma 90.00
_space_group_name_H-M_alt 'C m c m'
_space_group_IT_number 63
_space_group_name_Hall '-C 2c 2'
loop_
_atom_site_label
_atom_site_fract_x
_atom_site_fract_y
_atom_site_fract_z
_atom_site_occupancy
Cs1 0.000 0.243 0.250 1
Te1 0.000 0.060 0.750 1
Os1 0.000 0.000 0.000 1
Au1 0.000 0.430 0.750 1
Se1 0.000 0.404 0.516 1
```